No. 1
The following is a PBE calculation of an optimized crystal structure of Tb2Pd17, from Alexandria via LeMat-Bulk.

Volume = 326.7 Å³/cell
ΔH_f (0 K) = -0.31 eV/atom

a b c (Å): 6.9480 6.9480 6.9480
angles (deg): 82.13 82.13 82.13
Last column: nearest neighbours and their distance in Å.
Positions (direct):
Tb: 0.1728 0.1728 0.1728  16 Pd 3.07-3.42
Tb: 0.8272 0.8272 0.8272  16 Pd 3.07-3.42
Pd: 0.0000 0.5000 0.5000  10 Pd 2.66-2.78
Pd: 0.1522 0.1522 0.6607  9 Pd 2.61-2.88
Pd: 0.1522 0.6607 0.1522  9 Pd 2.61-2.88
Pd: 0.1920 0.5000 0.8080  8 Pd 2.67-2.81
Pd: 0.1920 0.8080 0.5000  8 Pd 2.67-2.81
Pd: 0.3393 0.8478 0.8478  9 Pd 2.61-2.88
Pd: 0.3991 0.3991 0.3991  7 Pd 2.74-2.88
Pd: 0.5000 0.0000 0.5000  10 Pd 2.66-2.78
Pd: 0.5000 0.1920 0.8080  8 Pd 2.67-2.81
Pd: 0.5000 0.5000 0.0000  10 Pd 2.66-2.78
Pd: 0.5000 0.8080 0.1920  8 Pd 2.67-2.81
Pd: 0.6009 0.6009 0.6009  7 Pd 2.74-2.88
Pd: 0.6607 0.1522 0.1522  9 Pd 2.61-2.88
Pd: 0.8080 0.1920 0.5000  8 Pd 2.67-2.81
Pd: 0.8080 0.5000 0.1920  8 Pd 2.67-2.81
Pd: 0.8478 0.3393 0.8478  9 Pd 2.61-2.88
Pd: 0.8478 0.8478 0.3393  9 Pd 2.61-2.88


No. 2
The following is a PBE calculation of an optimized crystal structure of YPu5Sb6, from Alexandria via LeMat-Bulk.

Uncorrected formation energy = -685.8 meV/atom
Volume = 365.6 Å³/cell

a b c (Å): 7.6510 7.6510 7.6509
angles (deg): 99.59 99.59 120.01
Last column: nearest neighbours and their distance in Å.
Positions (direct):
Y: 0.0000 0.0000 0.0000  6 Sb 3.12-3.13
Pu: 0.1665 0.8335 0.5000  6 Sb 3.12-3.13
Pu: 0.3333 0.6667 0.0000  6 Sb 3.12
Pu: 0.5000 0.5000 0.5000  6 Sb 3.12
Pu: 0.6667 0.3333 0.0000  6 Sb 3.12
Pu: 0.8335 0.1665 0.5000  6 Sb 3.12-3.13
Sb: 0.0834 0.4170 0.2499  5 Pu 3.12-3.13, 1 Y 3.12
Sb: 0.2503 0.2503 0.7498  5 Pu 3.12, 1 Y 3.13
Sb: 0.4170 0.0834 0.2499  5 Pu 3.12-3.13, 1 Y 3.12
Sb: 0.5830 0.9166 0.7501  5 Pu 3.12-3.13, 1 Y 3.12
Sb: 0.7497 0.7497 0.2502  5 Pu 3.12, 1 Y 3.13
Sb: 0.9166 0.5830 0.7501  5 Pu 3.12-3.13, 1 Y 3.12


No. 3
The following is a PBE calculation of an optimized crystal structure of ScCrRh6, from Alexandria via LeMat-Bulk.

Volume = 114.9 Å³/cell
ΔH_f (0 K) = -0.36 eV/atom

a b c (Å): 5.4919 5.4919 3.8086
angles (deg): 90.00 90.00 90.00
Last column: nearest neighbours and their distance in Å.
Positions (direct):
Sc: 0.0000 0.0000 0.0000  12 Rh 2.75-2.79
Cr: 0.5000 0.5000 0.0000  12 Rh 2.66-2.75
Rh: 0.0000 0.5000 0.0000  8 Rh 2.72, 2 Cr 2.75, 2 Sc 2.75
Rh: 0.2618 0.2618 0.5000  8 Rh 2.62-2.88, 2 Cr 2.66, 2 Sc 2.79
Rh: 0.2618 0.7382 0.5000  8 Rh 2.62-2.88, 2 Cr 2.66, 2 Sc 2.79
Rh: 0.5000 0.0000 0.0000  8 Rh 2.72, 2 Cr 2.75, 2 Sc 2.75
Rh: 0.7382 0.2618 0.5000  8 Rh 2.62-2.88, 2 Cr 2.66, 2 Sc 2.79
Rh: 0.7382 0.7382 0.5000  8 Rh 2.62-2.88, 2 Cr 2.66, 2 Sc 2.79


No. 4
The following is a PBE calculation of an optimized crystal structure of TbZrHgPt, from Alexandria via LeMat-Bulk.

Volume = 87.5 Å³/cell
ΔH_f (0 K) = -0.57 eV/atom

a b c (Å): 4.9837 4.9837 4.9837
angles (deg): 60.00 60.00 60.00
Last column: nearest neighbours and their distance in Å.
Positions (direct):
Tb: 0.0000 0.0000 0.0000  4 Hg 3.05, 4 Pt 3.05
Zr: 0.5000 0.5000 0.5000  4 Hg 3.05, 4 Pt 3.05
Hg: 0.2500 0.2500 0.2500  4 Zr 3.05, 4 Tb 3.05
Pt: 0.7500 0.7500 0.7500  4 Zr 3.05, 4 Tb 3.05


No. 5
The following is a PBE calculation of an optimized crystal structure of Tl2In2F, from Alexandria via LeMat-Bulk.

Uncorrected formation energy = -529.6 meV/atom
Volume = 267.3 Å³/cell

a b c (Å): 6.7933 6.7933 5.7916
angles (deg): 90.00 90.00 90.00
Last column: nearest neighbours and their distance in Å.
Positions (direct):
Tl: 0.1751 0.3249 0.0000  2 In 3.26, 5 Tl 3.36-3.55
Tl: 0.3249 0.8249 0.0000  2 In 3.26, 5 Tl 3.36-3.55
Tl: 0.6751 0.1751 0.0000  2 In 3.26, 5 Tl 3.36-3.55
Tl: 0.8249 0.6751 0.0000  2 In 3.26, 5 Tl 3.36-3.55
In: 0.1680 0.6680 0.5000  2 F 2.53
In: 0.3320 0.1680 0.5000  2 F 2.53
In: 0.6680 0.8320 0.5000  2 F 2.53
In: 0.8320 0.3320 0.5000  2 F 2.53
F: 0.0000 0.0000 0.5000  4 In 2.53
F: 0.5000 0.5000 0.5000  4 In 2.53


No. 6
The following is a PBE calculation of an optimized crystal structure of Sc2CuGe, from Alexandria via LeMat-Bulk.

Volume = 168.1 Å³/cell
ΔH_f (0 K) = 0.20 eV/atom

a b c (Å): 9.6921 9.6921 9.6921
angles (deg): 154.54 154.54 36.32
Last column: nearest neighbours and their distance in Å.
Positions (direct):
Sc: 0.1160 0.6250 0.9910  2 Ge 2.74, 2 Cu 2.77, 2 Sc 2.97
Sc: 0.3750 0.3660 0.4910  2 Ge 2.74, 2 Cu 2.77, 2 Sc 2.97
Sc: 0.6340 0.1250 0.0090  2 Ge 2.74, 2 Cu 2.77, 2 Sc 2.97
Sc: 0.8750 0.8840 0.5090  2 Ge 2.74, 2 Cu 2.77, 2 Sc 2.97
Cu: 0.2500 0.7500 0.5000  4 Sc 2.77, 4 Ge 3.02
Cu: 0.5000 0.5000 0.0000  4 Sc 2.77, 4 Ge 3.02
Ge: 0.0000 0.0000 0.0000  4 Sc 2.74, 4 Cu 3.02
Ge: 0.7500 0.2500 0.5000  4 Sc 2.74, 4 Cu 3.02


No. 7
The following is a PBE calculation of an optimized crystal structure of La2EuHg, from Alexandria via LeMat-Bulk.

Volume = 137.8 Å³/cell
ΔH_f (0 K) = -0.21 eV/atom

a b c (Å): 3.9174 3.9174 8.9797
angles (deg): 90.00 90.00 90.00
Last column: nearest neighbours and their distance in Å.
Positions (direct):
La: 0.0000 0.0000 0.2111  4 Hg 3.36
La: 0.0000 0.0000 0.7889  4 Hg 3.36
Eu: 0.5000 0.5000 0.5000  8 La 3.80, 4 Eu 3.92
Hg: 0.5000 0.5000 0.0000  8 La 3.36


No. 8
The following is a PBE calculation of an optimized crystal structure of CaSi4Pt4, from Alexandria via LeMat-Bulk.

Uncorrected formation energy = -683.8 meV/atom
Volume = 306.8 Å³/cell

a b c (Å): 6.1382 6.1382 8.1439
angles (deg): 90.00 90.00 90.00
Last column: nearest neighbours and their distance in Å.
Positions (direct):
Ca: 0.2500 0.7500 0.2500  12 Si 3.24-3.59, 12 Pt 3.44-3.54
Ca: 0.7500 0.2500 0.7500  12 Si 3.24-3.59, 12 Pt 3.44-3.54
Si: 0.0438 0.2500 0.0808  5 Pt 2.44-2.49, 1 Si 2.53
Si: 0.2500 0.0438 0.5808  5 Pt 2.44-2.49, 1 Si 2.53
Si: 0.2500 0.4562 0.5808  5 Pt 2.44-2.49, 1 Si 2.53
Si: 0.4562 0.2500 0.0808  5 Pt 2.44-2.49, 1 Si 2.53
Si: 0.5438 0.7500 0.9192  5 Pt 2.44-2.49, 1 Si 2.53
Si: 0.7500 0.5438 0.4192  5 Pt 2.44-2.49, 1 Si 2.53
Si: 0.7500 0.9562 0.4192  5 Pt 2.44-2.49, 1 Si 2.53
Si: 0.9562 0.7500 0.9192  5 Pt 2.44-2.49, 1 Si 2.53
Pt: 0.0225 0.2500 0.3804  5 Si 2.44-2.49
Pt: 0.2500 0.0225 0.8804  5 Si 2.44-2.49
Pt: 0.2500 0.4775 0.8804  5 Si 2.44-2.49
Pt: 0.4775 0.2500 0.3804  5 Si 2.44-2.49
Pt: 0.5225 0.7500 0.6196  5 Si 2.44-2.49
Pt: 0.7500 0.5225 0.1196  5 Si 2.44-2.49
Pt: 0.7500 0.9775 0.1196  5 Si 2.44-2.49
Pt: 0.9775 0.7500 0.6196  5 Si 2.44-2.49


No. 9
The following is a PBE calculation of an optimized crystal structure of Th6HgC3S2, from Alexandria via LeMat-Bulk.

Uncorrected formation energy = -823.9 meV/atom
Volume = 269.9 Å³/cell

a b c (Å): 9.1439 9.1439 8.3119
angles (deg): 108.71 108.71 24.28
Last column: nearest neighbours and their distance in Å.
Positions (direct):
Th: 0.0120 0.0120 0.2129  3 C 2.57-2.65
Th: 0.3206 0.3206 0.4403  3 C 2.56-2.68
Th: 0.3401 0.3401 0.8998  3 C 2.67-2.70, 3 S 2.98
Th: 0.6599 0.6599 0.1002  3 C 2.67-2.70, 3 S 2.98
Th: 0.6794 0.6794 0.5597  3 C 2.56-2.68
Th: 0.9880 0.9880 0.7871  3 C 2.57-2.65
Hg: 0.5000 0.5000 0.5000  6 Th 3.08-3.13
C: 0.1688 0.1688 0.3278  6 Th 2.56-2.68
C: 0.5000 0.5000 0.0000  6 Th 2.57-2.70
C: 0.8312 0.8312 0.6722  6 Th 2.56-2.68
S: 0.1657 0.1657 0.8300  6 Th 2.98-3.08
S: 0.8343 0.8343 0.1700  6 Th 2.98-3.08


No. 10
The following is a PBE calculation of an optimized crystal structure of AgIr3, from Alexandria via LeMat-Bulk.

Volume = 122.2 Å³/cell
ΔH_f (0 K) = 0.51 eV/atom

a b c (Å): 5.5576 5.5576 4.5679
angles (deg): 90.00 90.00 120.00
Last column: nearest neighbours and their distance in Å.
Positions (direct):
Ag: 0.3333 0.6667 0.2500  12 Ir 2.78-2.80
Ag: 0.6667 0.3333 0.7500  12 Ir 2.78-2.80
Ir: 0.1655 0.3309 0.7500  8 Ir 2.76-2.80, 4 Ag 2.78-2.80
Ir: 0.1655 0.8345 0.7500  8 Ir 2.76-2.80, 4 Ag 2.78-2.80
Ir: 0.3309 0.1655 0.2500  8 Ir 2.76-2.80, 4 Ag 2.78-2.80
Ir: 0.6691 0.8345 0.7500  8 Ir 2.76-2.80, 4 Ag 2.78-2.80
Ir: 0.8345 0.1655 0.2500  8 Ir 2.76-2.80, 4 Ag 2.78-2.80
Ir: 0.8345 0.6691 0.2500  8 Ir 2.76-2.80, 4 Ag 2.78-2.80


No. 11
The following is a PBE calculation of an optimized crystal structure of Ba3TlPt8, from Alexandria via LeMat-Bulk.

Volume = 255.0 Å³/cell
ΔH_f (0 K) = -0.62 eV/atom

a b c (Å): 9.7675 9.7675 9.7675
angles (deg): 33.66 33.66 33.66
Last column: nearest neighbours and their distance in Å.
Positions (direct):
Ba: 0.0000 0.0000 0.0000  12 Pt 3.32-3.35, 4 Ba 3.49-3.50
Ba: 0.1268 0.1268 0.1268  12 Pt 3.22-3.32, 3 Tl 3.43, 1 Ba 3.50
Ba: 0.6217 0.6217 0.6217  12 Pt 3.29-3.42, 1 Tl 3.40, 3 Ba 3.49
Tl: 0.4987 0.4987 0.4987  12 Pt 3.24-3.31, 4 Ba 3.40-3.43
Pt: 0.0608 0.0608 0.5609  6 Pt 2.78-2.85
Pt: 0.0608 0.5609 0.0608  6 Pt 2.78-2.85
Pt: 0.0665 0.5621 0.5621  6 Pt 2.80-2.85
Pt: 0.3119 0.3119 0.3119  6 Pt 2.85
Pt: 0.5609 0.0608 0.0608  6 Pt 2.78-2.85
Pt: 0.5621 0.0665 0.5621  6 Pt 2.80-2.85
Pt: 0.5621 0.5621 0.0665  6 Pt 2.80-2.85
Pt: 0.8127 0.8127 0.8127  6 Pt 2.78-2.81


No. 12
The following is a PBE calculation of an optimized crystal structure of Tc2AuCl, from Alexandria via LeMat-Bulk.

Uncorrected formation energy = 86.4 meV/atom
Volume = 73.2 Å³/cell

a b c (Å): 2.9542 2.9152 8.4974
angles (deg): 90.00 91.34 90.00
Last column: nearest neighbours and their distance in Å.
Positions (direct):
Tc: 0.0000 0.0000 0.0000  2 Cl 2.41, 4 Tc 2.58
Tc: 0.4878 0.5000 0.8198  4 Tc 2.58
Au: 0.9704 0.0000 0.5778  4 Au 2.92-2.95, 4 Tc 2.92
Cl: 0.0161 0.5000 0.2262  2 Tc 2.41